1.
DFT (PBE-GGA) results for Ca4Ti2Ru after structural relaxation.

formation enthalpy at 0 K = 0.74 eV/atom

a b c (Å): 5.6956 5.6956 8.1414
angles (deg): 69.53 69.53 90.00
Fractional coordinates of all 7 atoms:
Ca (0.8106, 0.8106, 0.3789)
Ca (0.0000, 0.5000, 0.0000)
Ca (0.5000, 0.0000, 0.0000)
Ti (0.5756, 0.5756, 0.8487)
Ca (0.1894, 0.1894, 0.6211)
Ru (0.0000, 0.0000, 0.0000)
Ti (0.4244, 0.4244, 0.1513)

2.
DFT (PBE-GGA) results for Ca2TlRu after structural relaxation.

formation enthalpy at 0 K = 0.17 eV/atom
excess energy over the best structure of this formula in the dataset = 13.06 kJ/mol of atoms

a b c (Å): 5.0587 5.0587 5.0587
angles (deg): 60.00 60.00 60.00
Fractional coordinates of all 4 atoms:
Tl (0.7500, 0.7500, 0.7500)
Ca (0.0000, 0.0000, 0.0000)
Ca (0.2500, 0.2500, 0.2500)
Ru (0.5000, 0.5000, 0.5000)